Record 1
The following is a DFT calculation (GGA-PBE) of an optimized crystal structure of Mg5Br3.

Unit cell a=9.5167 b=9.7039 c=9.3746 alpha=106.45 beta=98.12 gamma=135.96
Sites, in units of the cell vectors:
Mg 0.8287 0.2787 0.5039
Mg 0.4007 0.7492 0.1948
Mg 0.3557 0.0280 0.4189
Mg 0.9325 0.1731 0.2397
Mg 0.7683 0.9718 0.5807
Mg 0.2953 0.7211 0.4957
Mg 0.8440 0.5128 0.3484
Mg 0.7236 0.2506 0.8050
Mg 0.1921 0.8271 0.7604
Mg 0.2803 0.4881 0.6521
Br 0.9979 0.2587 0.9899
Br 0.5692 0.3038 0.0191
Br 0.8938 0.8048 0.6017
Br 0.5551 0.6961 0.9808
Br 0.2298 0.1948 0.3987
Br 0.1264 0.7412 0.0102

Summary:
ΔE_f (raw)	-0.564	eV per atom
energy relative to the lowest polymorph listed for this composition	0.000	eV per formula unit
total magnetic moment	0.0	μB/f.u.

***

Record 2
The following is a DFT calculation (GGA-PBE) of an optimized crystal structure of RbLiOsF6.

Unit cell a=6.1093 b=5.4326 c=5.4326 alpha=120.00 beta=90.00 gamma=90.00
Last column: magnetic moment on the atom in μB.
Sites, in units of the cell vectors:
F 0.6771 0.9722 0.2902  0.06
F 0.3229 0.9722 0.6820  0.06
F 0.3229 0.3180 0.2902  0.06
F 0.6771 0.7098 0.6820  0.06
F 0.3229 0.7098 0.0278  0.06
F 0.6771 0.3180 0.0278  0.06
Rb 0.0000 0.3333 0.6667  0.00
Li 0.5000 0.6667 0.3333  0.00
Os 0.5000 0.0000 0.0000  1.56

Summary:
ΔE_f (raw)	-2.253	eV per atom
total magnetic moment	2.0	μB/f.u.

***

Record 3
The following is a DFT calculation (GGA-PBE) of an optimized crystal structure of Zr2OsCl.

Unit cell a=7.3072 b=7.3072 c=7.3072 alpha=31.07 beta=31.07 gamma=31.07
Sites, in units of the cell vectors:
Zr 0.0203 0.0203 0.0203
Zr 0.4797 0.4797 0.4797
Cl 0.2500 0.2500 0.2500
Os 0.7500 0.7500 0.7500

Summary:
ΔE_f (raw)	-0.459	eV per atom
energy relative to the lowest polymorph listed for this composition	0.888	eV per formula unit
total magnetic moment	0.0	μB/f.u.

***

Record 4
The following is a DFT calculation (GGA-PBE) of an optimized crystal structure of AlSi2W.

Unit cell a=8.1565 b=8.1565 c=8.1565 alpha=20.85 beta=20.85 gamma=20.85
Sites, in units of the cell vectors:
Al 0.7477 0.7477 0.7477
Si 0.2526 0.2526 0.2526
Si 0.9961 0.9961 0.9961
W 0.5036 0.5036 0.5036

Summary:
ΔE_f (raw)	0.210	eV per atom
total magnetic moment	0.0	μB/f.u.

***

Record 5
The following is a DFT calculation (GGA-PBE) of an optimized crystal structure of TbTmZnSi.

Unit cell a=4.1507 b=4.0422 c=5.7731 alpha=90.00 beta=111.07 gamma=90.00
Last column: magnetic moment on the atom in μB.
Sites, in units of the cell vectors:
Si 0.4256 0.0000 0.8512  0.00
Zn 0.5704 0.5000 0.1408  0.00
Tb 0.1440 0.0000 0.2880  0.06
Tm 0.8600 0.5000 0.7200  0.05

Summary:
ΔE_f (raw)	-0.567	eV per atom
energy relative to the lowest polymorph listed for this composition	0.000	eV per formula unit
total magnetic moment	0.2	μB/f.u.

***

Record 6
The following is a DFT calculation (GGA-PBE) of an optimized crystal structure of Rb2NaAu.

Unit cell a=6.2150 b=6.2150 c=6.2150 alpha=60.00 beta=60.00 gamma=60.00
Sites, in units of the cell vectors:
Au 0.5000 0.5000 0.5000
Rb 0.7500 0.7500 0.7500
Rb 0.2500 0.2500 0.2500
Na 0.0000 0.0000 0.0000

Summary:
energy relative to the lowest polymorph listed for this composition	0.346	eV per formula unit
total magnetic moment	0.0	μB/f.u.
formation energy from the elements	-0.070	eV/atom

***

Record 7
The following is a DFT calculation (GGA-PBE) of an optimized crystal structure of SrRe2Pt2.

Unit cell a=8.1146 b=8.1146 c=2.7479 alpha=90.00 beta=90.00 gamma=90.00
Sites, in units of the cell vectors:
Pt 0.1848 0.6848 0.5000
Pt 0.3152 0.1848 0.5000
Pt 0.6848 0.8152 0.5000
Pt 0.8152 0.3152 0.5000
Sr 0.5000 0.5000 0.0000
Sr 0.0000 0.0000 0.0000
Re 0.6097 0.1097 0.0000
Re 0.8903 0.6097 0.0000
Re 0.1097 0.3903 0.0000
Re 0.3903 0.8903 0.0000

Summary:
energy relative to the lowest polymorph listed for this composition	0.000	eV per formula unit
total magnetic moment	0.0	μB/f.u.
formation energy from the elements	0.066	eV/atom

***

Record 8
The following is a DFT calculation (GGA-PBE) of an optimized crystal structure of ErThCSe.

Unit cell a=3.7603 b=3.7601 c=7.2530 alpha=90.00 beta=105.02 gamma=120.00
Last column: magnetic moment on the atom in μB.
Sites, in units of the cell vectors:
Er 0.1051 0.9505 0.0708  0.09
C 0.3090 0.5524 0.8767  -0.01
Th 0.5046 0.1503 0.6701  0.22
Se 0.9592 0.3776 0.3520  0.00

Summary:
ΔE_f (raw)	-1.082	eV per atom
total magnetic moment	0.6	μB/f.u.

***

Record 9
The following is a DFT calculation (GGA-PBE) of an optimized crystal structure of ZrRu2Pt.

Unit cell a=4.9062 b=4.9062 c=4.8069 alpha=79.35 beta=79.35 gamma=34.65
Sites, in units of the cell vectors:
Pt 0.2547 0.2547 0.2475
Zr 0.4992 0.4992 0.4954
Ru 0.0035 0.0035 0.9744
Ru 0.7426 0.7426 0.7827

Summary:
total magnetic moment	0.0	μB/f.u.
formation energy from the elements	-0.282	eV/atom

***

Record 10
The following is a DFT calculation (GGA-PBE) of an optimized crystal structure of Mn2Cr3.

Unit cell a=10.3454 b=10.3454 c=10.3454 alpha=14.07 beta=14.07 gamma=14.07
Sites, in units of the cell vectors:
Cr 0.2017 0.2017 0.2017
Cr 0.0000 0.0000 0.0000
Cr 0.7983 0.7983 0.7983
Mn 0.3995 0.3995 0.3995
Mn 0.6005 0.6005 0.6005

Summary:
energy relative to the lowest polymorph listed for this composition	0.417	eV per formula unit
total magnetic moment	0.0	μB/f.u.
formation energy from the elements	0.241	eV/atom

***

Record 11
The following is a DFT calculation (GGA-PBE) of an optimized crystal structure of YFe2Ir.

Unit cell a=4.3796 b=4.3796 c=3.2824 alpha=90.00 beta=90.00 gamma=90.00
Last column: magnetic moment on the atom in μB.
Sites, in units of the cell vectors:
Fe 0.5000 0.5000 0.0000  2.43
Fe 0.0000 0.0000 0.0000  2.43
Ir 0.5000 0.0000 0.5000  0.53
Y 0.0000 0.5000 0.5000  -0.38

Summary:
total magnetic moment	4.9	μB/f.u.
formation energy from the elements	0.073	eV/atom

***

Record 12
The following is a DFT calculation (GGA-PBE) of an optimized crystal structure of BaSrI2O.

Unit cell a=6.7485 b=6.7485 c=4.6810 alpha=90.00 beta=90.00 gamma=90.00
Last column: magnetic moment on the atom in μB.
Sites, in units of the cell vectors:
I 0.0000 0.5000 0.0000  0.00
I 0.5000 0.0000 0.0000  0.00
Ba 0.0000 0.0000 0.0000  -0.04
O 0.0000 0.0000 0.5000  -0.35
Sr 0.5000 0.5000 0.5000  -0.01

Summary:
ΔE_f (raw)	-1.321	eV per atom
energy relative to the lowest polymorph listed for this composition	1.241	eV per formula unit
total magnetic moment	0.5	μB/f.u.

***

Record 13
The following is a DFT calculation (GGA-PBE) of an optimized crystal structure of Sm2GeAs3Pt4.

Unit cell a=4.3656 b=4.3656 c=10.2265 alpha=90.00 beta=90.00 gamma=90.00
Sites, in units of the cell vectors:
Pt 0.0000 0.5000 0.3730
Pt 0.0000 0.0000 0.0000
Pt 0.5000 0.5000 0.0000
Pt 0.5000 0.0000 0.6270
As 0.5000 0.0000 0.8659
As 0.0000 0.5000 0.1341
As 0.0000 0.0000 0.5000
Sm 0.0000 0.5000 0.7566
Sm 0.5000 0.0000 0.2434
Ge 0.5000 0.5000 0.5000

Summary:
total magnetic moment	0.0	μB/f.u.
formation energy from the elements	-0.862	eV/atom

***

Record 14
The following is a DFT calculation (GGA-PBE) of an optimized crystal structure of ErZn2Sn.

Unit cell a=4.4333 b=4.4333 c=5.6763 alpha=67.01 beta=67.01 gamma=60.00
Sites, in units of the cell vectors:
Zn 0.2642 0.2642 0.2073
Zn 0.7358 0.7358 0.7927
Sn 0.0000 0.0000 0.0000
Er 0.5000 0.5000 0.5000

Summary:
total magnetic moment	0.0	μB/f.u.
formation energy from the elements	-0.229	eV/atom

***

Record 15
The following is a DFT calculation (GGA-PBE) of an optimized crystal structure of RbZnCl3.

Unit cell a=6.4328 b=7.2340 c=16.2905 alpha=90.00 beta=154.16 gamma=90.00
Sites, in units of the cell vectors:
Zn 0.4097 0.7500 0.2266
Zn 0.5903 0.2500 0.7734
Cl 0.9292 0.7500 0.1624
Cl 0.0708 0.2500 0.8376
Cl 0.2847 0.9884 0.7096
Cl 0.7153 0.0116 0.2904
Cl 0.7153 0.4884 0.2904
Cl 0.2847 0.5116 0.7096
Rb 0.7869 0.7500 0.7049
Rb 0.2131 0.2500 0.2951

Summary:
ΔE_f (raw)	-1.447	eV per atom
total magnetic moment	0.0	μB/f.u.

***

Record 16
The following is a DFT calculation (GGA-PBE) of an optimized crystal structure of BeNiPAu2.

Unit cell a=4.4836 b=3.9646 c=4.4836 alpha=90.00 beta=90.00 gamma=90.00
Sites, in units of the cell vectors:
Au 0.5000 0.0000 0.0000
Au 0.0000 0.0000 0.5000
Ni 0.5000 0.5000 0.5000
P 0.0000 0.5000 0.0000
Be 0.0000 0.0000 0.0000

Summary:
total magnetic moment	0.0	μB/f.u.
formation energy from the elements	0.523	eV/atom

***

Record 17
The following is a DFT calculation (GGA-PBE) of an optimized crystal structure of PuTl2HgF8.

Unit cell a=6.1276 b=6.1276 c=7.1012 alpha=115.56 beta=115.56 gamma=90.00
Last column: magnetic moment on the atom in μB.
Sites, in units of the cell vectors:
F 0.1678 0.0985 0.7376  -0.02
F 0.5698 0.0985 0.7376  -0.02
F 0.1678 0.6391 0.7376  -0.02
F 0.9015 0.8322 0.2624  -0.02
F 0.3609 0.4302 0.2624  -0.02
F 0.5698 0.6391 0.7376  -0.02
F 0.3609 0.8322 0.2624  -0.02
F 0.9015 0.4302 0.2624  -0.02
Tl 0.0000 0.0000 0.0000  -0.01
Tl 0.7500 0.2500 0.5000  -0.02
Pu 0.2500 0.7500 0.5000  4.12
Hg 0.5000 0.5000 0.0000  0.04

Summary:
ΔE_f (raw)	-2.372	eV per atom
total magnetic moment	4.0	μB/f.u.

***

Record 18
The following is a DFT calculation (GGA-PBE) of an optimized crystal structure of Tb2ScTe2N2.

Unit cell a=4.1575 b=4.1575 c=9.0279 alpha=103.31 beta=103.31 gamma=90.00
Sites, in units of the cell vectors:
Te 0.8236 0.8236 0.6472
Te 0.1764 0.1764 0.3528
Tb 0.5918 0.5918 0.1837
Tb 0.4082 0.4082 0.8163
N 0.0000 0.5000 0.0000
N 0.5000 0.0000 0.0000
Sc 0.0000 0.0000 0.0000

Summary:
ΔE_f (raw)	-1.342	eV per atom
total magnetic moment	0.0	μB/f.u.

***

Record 19
The following is a DFT calculation (GGA-PBE) of an optimized crystal structure of YCdCuIr.

Unit cell a=4.7373 b=4.7373 c=4.7373 alpha=60.00 beta=60.00 gamma=60.00
Sites, in units of the cell vectors:
Cu 0.0000 0.0000 0.0000
Ir 0.5000 0.5000 0.5000
Cd 0.7500 0.7500 0.7500
Y 0.2500 0.2500 0.2500

Summary:
total magnetic moment	0.0	μB/f.u.
formation energy from the elements	-0.266	eV/atom

***

Record 20
The following is a DFT calculation (GGA-PBE) of an optimized crystal structure of PmTm3Pb3.

Unit cell a=9.2254 b=9.2254 c=8.2532 alpha=56.02 beta=56.02 gamma=60.00
Sites, in units of the cell vectors:
Tm 0.8034 0.0965 0.7207
Tm 0.6206 0.1966 0.2793
Tm 0.3794 0.8034 0.7207
Tm 0.9035 0.6206 0.2793
Tm 0.0965 0.3794 0.7207
Tm 0.1966 0.9035 0.2793
Pb 0.5566 0.9243 0.2348
Pb 0.2844 0.5566 0.2348
Pb 0.4434 0.0757 0.7652
Pb 0.0757 0.7156 0.7652
Pb 0.7156 0.4434 0.7652
Pb 0.9243 0.2844 0.2348
Pm 0.3331 0.3331 0.0007
Pm 0.6669 0.6669 0.9993

Summary:
energy relative to the lowest polymorph listed for this composition	1.400	eV per formula unit
total magnetic moment	0.0	μB/f.u.
formation energy from the elements	-0.299	eV/atom